[1]
Computed, not measured: a geometry-optimized PuHSe structure at the GGA-PBE level of DFT.

Calculated values
- Volume: 107 Å³/cell
- DOS at the Fermi energy: 10.07 states/eV/cell
- VASP energy: -7.712 eV/atom

a = 3.440 Å, b = 3.440 Å, c = 9.080 Å
α = 90.00°, β = 90.00°, γ = 90.00°
Space group I4mm (No. 107)
Inequivalent atoms, fractional coordinates:
1 Pu 0.000 0.000 0.000 (multiplicity 2)
2 H 0.000 0.000 0.600 (multiplicity 2)
3 Se 0.000 0.000 0.322 (multiplicity 2)



[2]
Computed, not measured: a geometry-optimized TaCoS2Cl structure at the GGA-PBE level of DFT.

Calculated values
- Volume: 110 Å³/cell
- Formation energy without anion corrections: 203 meV per atom
- E above lowest polymorph: 0 meV/atom
- DOS at the Fermi energy: 7.48 states/eV/cell

a = 4.799 Å, b = 4.799 Å, c = 4.779 Å
α = 90.00°, β = 90.00°, γ = 90.00°
Space group P4/mmm (No. 123)
Inequivalent atoms, fractional coordinates:
1 Ta 0.000 0.000 0.000 (multiplicity 1)
2 Co 0.500 0.500 0.500 (multiplicity 1)
3 S 0.000 0.500 0.000 (multiplicity 2)
4 Cl 0.000 0.000 0.500 (multiplicity 1)



[3]
Computed, not measured: a geometry-optimized PuBeIrN structure at the GGA-PBE level of DFT.

Calculated values
- Volume: 110 Å³/cell
- Formation energy without anion corrections: -850 meV per atom
- DOS at the Fermi energy: 12.53 states/eV/cell

a = 3.722 Å, b = 3.722 Å, c = 7.948 Å
α = 90.00°, β = 90.00°, γ = 90.00°
Space group P4/nmm (No. 129, origin choice 2)
Inequivalent atoms, fractional coordinates:
1 Pu 0.250 0.250 0.161 (multiplicity 2)
2 Be 0.250 0.250 0.675 (multiplicity 2)
3 Ir 0.250 0.750 0.500 (multiplicity 2)
4 N 0.250 0.250 0.879 (multiplicity 2)



[4]
Computed, not measured: a geometry-optimized Be2WAu structure at the GGA-PBE level of DFT.

Calculated values
- Volume: 100 Å³/cell
- E above lowest polymorph: 38 meV/atom
- Calculated formation energy: 3.3 kcal/mol of atoms
- DOS at the Fermi energy: 3.68 states/eV/cell

a = 3.753 Å, b = 2.813 Å, c = 9.483 Å
α = 90.00°, β = 90.00°, γ = 90.00°
Space group Amm2 (No. 38)
Inequivalent atoms, fractional coordinates:
1 Be 0.000 0.000 0.000 (multiplicity 2)
2 Be 0.500 0.000 0.134 (multiplicity 2)
3 W 0.000 0.000 0.725 (multiplicity 2)
4 Au 0.500 0.000 0.415 (multiplicity 2)



[5]
Computed, not measured: a geometry-optimized BaTl2Se2 structure at the GGA-PBE level of DFT.

Calculated values
- Volume: 340 Å³/cell
- Formation energy without anion corrections: -723 meV per atom
- E above lowest polymorph: 333 meV/atom
- DOS at the Fermi energy: 2.36 states/eV/cell

a = 5.802 Å, b = 5.802 Å, c = 10.107 Å
α = 90.00°, β = 90.00°, γ = 90.00°
Space group I4/mmm (No. 139)
Inequivalent atoms, fractional coordinates:
1 Ba 0.000 0.000 0.000 (multiplicity 2)
2 Tl 0.000 0.000 0.348 (multiplicity 4)
3 Se 0.000 0.500 0.250 (multiplicity 4)